## MnZn2Se (PBE)

Data for a geometry-optimized MnZn2Se structure.

Lattice parameters (Å, degrees): 4.5281 4.5281 4.5281 60.00 60.00 60.00
Closest atoms and distances in Å follow each position.
Atoms (fractional coordinates):
Mn  0.5000  0.5000  0.5000  4 Se 2.77, 4 Zn 2.77
Se  0.7500  0.7500  0.7500  4 Mn 2.77, 4 Zn 2.77
Zn  0.0000  0.0000  0.0000  4 Se 2.77, 4 Zn 2.77
Zn  0.2500  0.2500  0.2500  4 Zn 2.77, 4 Mn 2.77

E_form (uncorrected): 0.224 eV per atom
space group: No. 216
density of states at the Fermi level: 2.2 states/eV/f.u.